[1]
# Nb2FeNiP, optimized geometry, DFT PBE-GGA
data_Nb2FeNiP
_chemical_formula_sum 'Nb2 Fe1 Ni1 P1'
_cell_length_a 4.615
_cell_length_b 4.615
_cell_length_c 4.018
_cell_angle_alpha 90.00
_cell_angle_beta 90.00
_cell_angle_gamma 90.00
_symmetry_space_group_name_H-M 'P 4/m m m'
_symmetry_Int_Tables_number 123
_symmetry_space_group_name_Hall '-P 4 2'
loop_
_atom_site_label
_atom_site_type_symbol
_atom_site_fract_x
_atom_site_fract_y
_atom_site_fract_z
_atom_site_occupancy
Nb1 Nb 0.000 0.500 0.000 1
Fe1 Fe 0.000 0.000 0.500 1
Ni1 Ni 0.500 0.500 0.500 1
P1 P 0.000 0.000 0.000 1
# - Spin magnetization: 1.9 μB per cell
# - ΔH_f (0 K): 399.2 meV/atom

=====

[2]
# NbFeNiPd, optimized geometry, DFT PBE-GGA
data_NbFeNiPd
_chemical_formula_sum 'Nb4 Fe4 Ni4 Pd4'
_cell_length_a 6.062
_cell_length_b 6.062
_cell_length_c 6.062
_cell_angle_alpha 90.00
_cell_angle_beta 90.00
_cell_angle_gamma 90.00
_symmetry_space_group_name_H-M 'F -4 3 m'
_symmetry_Int_Tables_number 216
_symmetry_space_group_name_Hall 'F -4 2 3'
loop_
_atom_site_label
_atom_site_type_symbol
_atom_site_fract_x
_atom_site_fract_y
_atom_site_fract_z
_atom_site_occupancy
Nb1 Nb 0.000 0.000 0.000 1
Fe1 Fe 0.250 0.250 0.250 1
Ni1 Ni 0.250 0.250 0.750 1
Pd1 Pd 0.000 0.000 0.500 1
# - Spin magnetization: 6.6 μB per cell
# - ΔH_f (0 K): -69.2 meV/atom

=====

[3]
# NbFeNiPt, optimized geometry, DFT PBE-GGA
data_NbFeNiPt
_chemical_formula_sum 'Nb4 Fe4 Ni4 Pt4'
_cell_length_a 6.066
_cell_length_b 6.066
_cell_length_c 6.066
_cell_angle_alpha 90.00
_cell_angle_beta 90.00
_cell_angle_gamma 90.00
_symmetry_space_group_name_H-M 'F -4 3 m'
_symmetry_Int_Tables_number 216
_symmetry_space_group_name_Hall 'F -4 2 3'
loop_
_atom_site_label
_atom_site_type_symbol
_atom_site_fract_x
_atom_site_fract_y
_atom_site_fract_z
_atom_site_occupancy
Nb1 Nb 0.000 0.000 0.000 1
Fe1 Fe 0.250 0.250 0.750 1
Ni1 Ni 0.250 0.250 0.250 1
Pt1 Pt 0.000 0.000 0.500 1
# - Spin magnetization: 7.1 μB per cell
# - ΔH_f (0 K): -230.9 meV/atom

=====

[4]
# Nb2FeNiPt, optimized geometry, DFT PBE-GGA
data_Nb2FeNiPt
_chemical_formula_sum 'Nb2 Fe1 Ni1 Pt1'
_cell_length_a 4.845
_cell_length_b 4.845
_cell_length_c 4.572
_cell_angle_alpha 90.00
_cell_angle_beta 90.00
_cell_angle_gamma 90.00
_symmetry_space_group_name_H-M 'P 4/m m m'
_symmetry_Int_Tables_number 123
_symmetry_space_group_name_Hall '-P 4 2'
loop_
_atom_site_label
_atom_site_type_symbol
_atom_site_fract_x
_atom_site_fract_y
_atom_site_fract_z
_atom_site_occupancy
Nb1 Nb 0.000 0.500 0.000 1
Fe1 Fe 0.000 0.000 0.500 1
Ni1 Ni 0.500 0.500 0.500 1
Pt1 Pt 0.500 0.500 0.000 1
# - Spin magnetization: 2.1 μB per cell
# - ΔH_f (0 K): 1291.3 meV/atom

=====

[5]
# NbFeNiSb, optimized geometry, DFT PBE-GGA
data_NbFeNiSb
_chemical_formula_sum 'Nb4 Fe4 Ni4 Sb4'
_cell_length_a 6.192
_cell_length_b 6.192
_cell_length_c 6.192
_cell_angle_alpha 90.00
_cell_angle_beta 90.00
_cell_angle_gamma 90.00
_symmetry_space_group_name_H-M 'F -4 3 m'
_symmetry_Int_Tables_number 216
_symmetry_space_group_name_Hall 'F -4 2 3'
loop_
_atom_site_label
_atom_site_type_symbol
_atom_site_fract_x
_atom_site_fract_y
_atom_site_fract_z
_atom_site_occupancy
Nb1 Nb 0.000 0.000 0.000 1
Fe1 Fe 0.250 0.250 0.250 1
Ni1 Ni 0.250 0.250 0.750 1
Sb1 Sb 0.000 0.000 0.500 1
# - Spin magnetization: 1.9 μB per cell
# - Energy relative to the elements, uncorrected: -11 meV per atom

=====

[6]
# Nb2FeNi7Sb2, optimized geometry, DFT PBE-GGA
data_Nb2FeNi7Sb2
_chemical_formula_sum 'Nb4 Fe2 Ni14 Sb4'
_cell_length_a 3.419
_cell_length_b 3.419
_cell_length_c 29.668
_cell_angle_alpha 90.00
_cell_angle_beta 90.00
_cell_angle_gamma 90.00
_symmetry_space_group_name_H-M 'I 4/m m m'
_symmetry_Int_Tables_number 139
_symmetry_space_group_name_Hall '-I 4 2'
loop_
_atom_site_label
_atom_site_type_symbol
_atom_site_fract_x
_atom_site_fract_y
_atom_site_fract_z
_atom_site_occupancy
Nb1 Nb 0.000 0.000 0.127 1
Fe1 Fe 0.000 0.000 0.500 1
Ni1 Ni 0.000 0.000 0.000 1
Ni2 Ni 0.000 0.000 0.227 1
Ni3 Ni 0.000 0.500 0.063 1
Sb1 Sb 0.000 0.000 0.312 1
# - Spin magnetization: 7.1 μB per cell
# - Energy relative to the elements, uncorrected: 16 meV per atom

=====

[7]
# NbFeNi2Se, optimized geometry, DFT PBE-GGA
data_NbFeNi2Se
_chemical_formula_sum 'Nb1 Fe1 Ni2 Se1'
_cell_length_a 4.307
_cell_length_b 4.307
_cell_length_c 4.333
_cell_angle_alpha 90.00
_cell_angle_beta 90.00
_cell_angle_gamma 90.00
_symmetry_space_group_name_H-M 'P 4/m m m'
_symmetry_Int_Tables_number 123
_symmetry_space_group_name_Hall '-P 4 2'
loop_
_atom_site_label
_atom_site_type_symbol
_atom_site_fract_x
_atom_site_fract_y
_atom_site_fract_z
_atom_site_occupancy
Nb1 Nb 0.000 0.000 0.000 1
Fe1 Fe 0.500 0.500 0.500 1
Ni1 Ni 0.000 0.500 0.500 1
Se1 Se 0.500 0.500 0.000 1
# - Spin magnetization: 3.9 μB per cell
# - Energy relative to the elements, uncorrected: 766 meV per atom

=====

[8]
# Nb2FeNi7Sn2, optimized geometry, DFT PBE-GGA
data_Nb2FeNi7Sn2
_chemical_formula_sum 'Nb4 Fe2 Ni14 Sn4'
_cell_length_a 3.375
_cell_length_b 3.375
_cell_length_c 30.370
_cell_angle_alpha 90.00
_cell_angle_beta 90.00
_cell_angle_gamma 90.00
_symmetry_space_group_name_H-M 'I 4/m m m'
_symmetry_Int_Tables_number 139
_symmetry_space_group_name_Hall '-I 4 2'
loop_
_atom_site_label
_atom_site_type_symbol
_atom_site_fract_x
_atom_site_fract_y
_atom_site_fract_z
_atom_site_occupancy
Nb1 Nb 0.000 0.000 0.125 1
Fe1 Fe 0.000 0.000 0.500 1
Ni1 Ni 0.000 0.000 0.000 1
Ni2 Ni 0.000 0.000 0.226 1
Ni3 Ni 0.000 0.500 0.062 1
Sn1 Sn 0.000 0.000 0.312 1
# - Spin magnetization: 6.9 μB per cell
# - ΔH_f (0 K): 20.5 meV/atom

=====

[9]
# NbFeTcNi2, optimized geometry, DFT PBE-GGA
data_NbFeTcNi2
_chemical_formula_sum 'Nb1 Fe1 Tc1 Ni2'
_cell_length_a 4.228
_cell_length_b 4.228
_cell_length_c 4.348
_cell_angle_alpha 90.00
_cell_angle_beta 90.00
_cell_angle_gamma 90.00
_symmetry_space_group_name_H-M 'P 4/m m m'
_symmetry_Int_Tables_number 123
_symmetry_space_group_name_Hall '-P 4 2'
loop_
_atom_site_label
_atom_site_type_symbol
_atom_site_fract_x
_atom_site_fract_y
_atom_site_fract_z
_atom_site_occupancy
Nb1 Nb 0.000 0.000 0.000 1
Fe1 Fe 0.500 0.500 0.500 1
Tc1 Tc 0.500 0.500 0.000 1
Ni1 Ni 0.000 0.500 0.500 1
# - Spin magnetization: 3.4 μB per cell
# - ΔH_f (0 K): 950.8 meV/atom

=====

[10]
# TiNbFeNi, optimized geometry, DFT PBE-GGA
data_TiNbFeNi
_chemical_formula_sum 'Ti4 Nb4 Fe4 Ni4'
_cell_length_a 6.074
_cell_length_b 6.074
_cell_length_c 6.074
_cell_angle_alpha 90.00
_cell_angle_beta 90.00
_cell_angle_gamma 90.00
_symmetry_space_group_name_H-M 'F -4 3 m'
_symmetry_Int_Tables_number 216
_symmetry_space_group_name_Hall 'F -4 2 3'
loop_
_atom_site_label
_atom_site_type_symbol
_atom_site_fract_x
_atom_site_fract_y
_atom_site_fract_z
_atom_site_occupancy
Ti1 Ti 0.000 0.000 0.000 1
Nb1 Nb 0.000 0.000 0.500 1
Fe1 Fe 0.250 0.250 0.250 1
Ni1 Ni 0.250 0.250 0.750 1
# - Spin magnetization: 0.7 μB per cell
# - ΔH_f (0 K): -183.4 meV/atom

=====

[11]
# NbVFeNi, optimized geometry, DFT PBE-GGA
data_NbVFeNi
_chemical_formula_sum 'Nb4 V4 Fe4 Ni4'
_cell_length_a 6.010
_cell_length_b 6.010
_cell_length_c 6.010
_cell_angle_alpha 90.00
_cell_angle_beta 90.00
_cell_angle_gamma 90.00
_symmetry_space_group_name_H-M 'F -4 3 m'
_symmetry_Int_Tables_number 216
_symmetry_space_group_name_Hall 'F -4 2 3'
loop_
_atom_site_label
_atom_site_type_symbol
_atom_site_fract_x
_atom_site_fract_y
_atom_site_fract_z
_atom_site_occupancy
Nb1 Nb 0.000 0.000 0.000 1
V1 V 0.000 0.000 0.500 1
Fe1 Fe 0.250 0.250 0.750 1
Ni1 Ni 0.250 0.250 0.250 1
# - Spin magnetization: 1.0 μB per cell
# - ΔH_f (0 K): -0.5 meV/atom

=====

[12]
# Nb2ZnFe2Ni5, optimized geometry, DFT PBE-GGA
data_Nb2ZnFe2Ni5
_chemical_formula_sum 'Nb4 Zn2 Fe4 Ni10'
_cell_length_a 8.199
_cell_length_b 8.199
_cell_length_c 3.809
_cell_angle_alpha 90.00
_cell_angle_beta 90.00
_cell_angle_gamma 90.00
_symmetry_space_group_name_H-M 'P 4/m b m'
_symmetry_Int_Tables_number 127
_symmetry_space_group_name_Hall '-P 4 2ab'
loop_
_atom_site_label
_atom_site_type_symbol
_atom_site_fract_x
_atom_site_fract_y
_atom_site_fract_z
_atom_site_occupancy
Nb1 Nb 0.168 0.332 0.000 1
Zn1 Zn 0.000 0.000 0.000 1
Fe1 Fe 0.129 0.629 0.000 1
Ni1 Ni 0.000 0.500 0.500 1
Ni2 Ni 0.072 0.795 0.500 1
# - Spin magnetization: 3.4 μB per cell
# - ΔH_f (0 K): -66.5 meV/atom

=====

[13]
# ZrNbFeNi, optimized geometry, DFT PBE-GGA
data_ZrNbFeNi
_chemical_formula_sum 'Zr4 Nb4 Fe4 Ni4'
_cell_length_a 6.281
_cell_length_b 6.281
_cell_length_c 6.281
_cell_angle_alpha 90.00
_cell_angle_beta 90.00
_cell_angle_gamma 90.00
_symmetry_space_group_name_H-M 'F -4 3 m'
_symmetry_Int_Tables_number 216
_symmetry_space_group_name_Hall 'F -4 2 3'
loop_
_atom_site_label
_atom_site_type_symbol
_atom_site_fract_x
_atom_site_fract_y
_atom_site_fract_z
_atom_site_occupancy
Zr1 Zr 0.000 0.000 0.000 1
Nb1 Nb 0.000 0.000 0.500 1
Fe1 Fe 0.250 0.250 0.250 1
Ni1 Ni 0.250 0.250 0.750 1
# - Spin magnetization: 1.6 μB per cell
# - ΔH_f (0 K): -119.0 meV/atom

=====

[14]
# ZrNbFeNi2, optimized geometry, DFT PBE-GGA
data_ZrNbFeNi2
_chemical_formula_sum 'Zr1 Nb1 Fe1 Ni2'
_cell_length_a 4.457
_cell_length_b 4.457
_cell_length_c 4.927
_cell_angle_alpha 90.00
_cell_angle_beta 90.00
_cell_angle_gamma 90.00
_symmetry_space_group_name_H-M 'P 4/m m m'
_symmetry_Int_Tables_number 123
_symmetry_space_group_name_Hall '-P 4 2'
loop_
_atom_site_label
_atom_site_type_symbol
_atom_site_fract_x
_atom_site_fract_y
_atom_site_fract_z
_atom_site_occupancy
Zr1 Zr 0.000 0.000 0.000 1
Nb1 Nb 0.000 0.000 0.500 1
Fe1 Fe 0.500 0.500 0.500 1
Ni1 Ni 0.000 0.500 0.000 1
# - Spin magnetization: 0.3 μB per cell
# - ΔH_f (0 K): 1838.7 meV/atom

=====

[15]
# NpNb2Fe, optimized geometry, DFT PBE-GGA
data_NpNb2Fe
_chemical_formula_sum 'Np1 Nb2 Fe1'
_cell_length_a 3.008
_cell_length_b 3.008
_cell_length_c 7.763
_cell_angle_alpha 90.00
_cell_angle_beta 90.00
_cell_angle_gamma 90.00
_symmetry_space_group_name_H-M 'P 4/m m m'
_symmetry_Int_Tables_number 123
_symmetry_space_group_name_Hall '-P 4 2'
loop_
_atom_site_label
_atom_site_type_symbol
_atom_site_fract_x
_atom_site_fract_y
_atom_site_fract_z
_atom_site_occupancy
Np1 Np 0.000 0.000 0.000 1
Nb1 Nb 0.500 0.500 0.297 1
Fe1 Fe 0.000 0.000 0.500 1
# - Spin magnetization: 3.8 μB per cell
# - ΔH_f (0 K): 262.0 meV/atom
# - Polymorph energy (0 for the lowest one): 0 meV/atom

=====

[16]
# NpNbFe4, optimized geometry, DFT PBE-GGA
data_NpNbFe4
_chemical_formula_sum 'Np2 Nb2 Fe8'
_cell_length_a 4.7522
_cell_length_b 4.7522
_cell_length_c 8.2601
_cell_angle_alpha 90.00
_cell_angle_beta 90.00
_cell_angle_gamma 120.00
_symmetry_space_group_name_H-M 'P -3 m 1'
_symmetry_Int_Tables_number 164
_symmetry_space_group_name_Hall '-P 3 2"'
loop_
_atom_site_label
_atom_site_type_symbol
_atom_site_fract_x
_atom_site_fract_y
_atom_site_fract_z
_atom_site_occupancy
Np1 Np 0.3333 0.6667 0.0528 1
Nb1 Nb 0.3333 0.6667 0.4325 1
Fe1 Fe 0.0000 0.0000 0.0000 1
Fe2 Fe 0.0000 0.0000 0.5000 1
Fe3 Fe 0.1681 0.3362 0.7362 1
# - Spin magnetization: 7.7 μB per cell
# - ΔH_f (0 K): -3.1 meV/atom
# - Polymorph energy (0 for the lowest one): 0 meV/atom

=====

[17]
# NpNb2Fe, optimized geometry, DFT PBE-GGA
data_NpNb2Fe
_chemical_formula_sum 'Np4 Nb8 Fe4'
_cell_length_a 6.499
_cell_length_b 6.499
_cell_length_c 6.499
_cell_angle_alpha 90.00
_cell_angle_beta 90.00
_cell_angle_gamma 90.00
_symmetry_space_group_name_H-M 'F m -3 m'
_symmetry_Int_Tables_number 225
_symmetry_space_group_name_Hall '-F 4 2 3'
loop_
_atom_site_label
_atom_site_type_symbol
_atom_site_fract_x
_atom_site_fract_y
_atom_site_fract_z
_atom_site_occupancy
Np1 Np 0.000 0.000 0.000 1
Nb1 Nb 0.250 0.250 0.250 1
Fe1 Fe 0.000 0.000 0.500 1
# - Spin magnetization: 18.7 μB per cell
# - ΔH_f (0 K): 403.3 meV/atom
# - Polymorph energy (0 for the lowest one): 141 meV/atom

=====

[18]
# NpNb2Fe, optimized geometry, DFT PBE-GGA
data_NpNb2Fe
_chemical_formula_sum 'Np3 Nb6 Fe3'
_cell_length_a 2.8711
_cell_length_b 2.8711
_cell_length_c 29.9417
_cell_angle_alpha 90.00
_cell_angle_beta 90.00
_cell_angle_gamma 120.00
_symmetry_space_group_name_H-M 'R -3 m'
_symmetry_Int_Tables_number 166
_symmetry_space_group_name_Hall '-R 3 2"'
loop_
_atom_site_label
_atom_site_type_symbol
_atom_site_fract_x
_atom_site_fract_y
_atom_site_fract_z
_atom_site_occupancy
Np1 Np 0.0000 0.0000 0.0000 1
Nb1 Nb 0.0000 0.0000 0.0969 1
Fe1 Fe 0.0000 0.0000 0.5000 1
# - Spin magnetization: 12.6 μB per cell
# - ΔH_f (0 K): 552.5 meV/atom
# - Polymorph energy (0 for the lowest one): 290 meV/atom

=====

[19]
# NpNbFe4, optimized geometry, DFT PBE-GGA
data_NpNbFe4
_chemical_formula_sum 'Np4 Nb4 Fe16'
_cell_length_a 6.963
_cell_length_b 6.963
_cell_length_c 6.963
_cell_angle_alpha 90.00
_cell_angle_beta 90.00
_cell_angle_gamma 90.00
_symmetry_space_group_name_H-M 'F -4 3 m'
_symmetry_Int_Tables_number 216
_symmetry_space_group_name_Hall 'F -4 2 3'
loop_
_atom_site_label
_atom_site_type_symbol
_atom_site_fract_x
_atom_site_fract_y
_atom_site_fract_z
_atom_site_occupancy
Np1 Np 0.000 0.000 0.000 1
Nb1 Nb 0.250 0.250 0.750 1
Fe1 Fe 0.125 0.125 0.375 1
# - Spin magnetization: 8.3 μB per cell
# - ΔH_f (0 K): 39.8 meV/atom
# - Polymorph energy (0 for the lowest one): 43 meV/atom